Entry 1:
VASP calculation (PBE) on crystalline HfMn2Cr at its relaxed geometry.

CIF file:
```
data_HfMn2Cr
_symmetry_space_group_name_H-M 'F m -3 m'
_symmetry_Int_Tables_number 225
_symmetry_space_group_name_Hall '-F 4 2 3'
_cell_length_a 5.968
_cell_length_b 5.968
_cell_length_c 5.968
_cell_angle_alpha 90.00
_cell_angle_beta 90.00
_cell_angle_gamma 90.00
loop_
_atom_site_label
_atom_site_type_symbol
_atom_site_fract_x
_atom_site_fract_y
_atom_site_fract_z
Hf1 Hf 0.000 0.000 0.000
Mn1 Mn 0.250 0.250 0.250
Cr1 Cr 0.000 0.000 0.500
```

Output
The value obtained for the formation energy is 0.03 eV/atom. The calculation puts the final energy at -151.246 eV/cell. The calculation puts the volume at 213 Å³/cell.


Entry 2:
VASP calculation (PBE) on crystalline Cd5Cu at its relaxed geometry.

CIF file:
```
data_Cd5Cu
_symmetry_space_group_name_H-M 'I 4/m c m'
_symmetry_Int_Tables_number 140
_symmetry_space_group_name_Hall '-I 4 2c'
_cell_length_a 6.846
_cell_length_b 6.846
_cell_length_c 10.980
_cell_angle_alpha 90.00
_cell_angle_beta 90.00
_cell_angle_gamma 90.00
loop_
_atom_site_label
_atom_site_type_symbol
_atom_site_fract_x
_atom_site_fract_y
_atom_site_fract_z
Cd1 Cd 0.000 0.000 0.000
Cd2 Cd 0.157 0.343 0.139
Cu1 Cu 0.000 0.000 0.250
```

Output
The value obtained for the formation energy is 0.03 eV/atom. The calculation puts the final energy at -34.072 eV/cell. The calculation puts the volume at 515 Å³/cell.


Entry 3:
VASP calculation (PBE) on crystalline TbSmGaGe at its relaxed geometry.

CIF file:
```
data_TbSmGaGe
_symmetry_space_group_name_H-M 'F -4 3 m'
_symmetry_Int_Tables_number 216
_symmetry_space_group_name_Hall 'F -4 2 3'
_cell_length_a 7.240
_cell_length_b 7.240
_cell_length_c 7.240
_cell_angle_alpha 90.00
_cell_angle_beta 90.00
_cell_angle_gamma 90.00
loop_
_atom_site_label
_atom_site_type_symbol
_atom_site_fract_x
_atom_site_fract_y
_atom_site_fract_z
Tb1 Tb 0.000 0.000 0.000
Sm1 Sm 0.000 0.000 0.500
Ga1 Ga 0.250 0.250 0.250
Ge1 Ge 0.250 0.250 0.750
```

Output
The value obtained for the formation energy is -0.58 eV/atom. The calculation puts the final energy at -77.237 eV/cell. The calculation puts the volume at 380 Å³/cell.


Entry 4:
VASP calculation (PBE) on crystalline CsBO3 at its relaxed geometry.

CIF file:
```
data_CsBO3
_symmetry_space_group_name_H-M 'P m -3 m'
_symmetry_Int_Tables_number 221
_symmetry_space_group_name_Hall '-P 4 2 3'
_cell_length_a 3.688
_cell_length_b 3.688
_cell_length_c 3.688
_cell_angle_alpha 90.00
_cell_angle_beta 90.00
_cell_angle_gamma 90.00
loop_
_atom_site_label
_atom_site_type_symbol
_atom_site_fract_x
_atom_site_fract_y
_atom_site_fract_z
Cs1 Cs 0.000 0.000 0.000
B1 B 0.500 0.500 0.500
O1 O 0.000 0.500 0.500
```

Output
The calculation puts the final energy at -22.123 eV/cell. The calculation puts the volume at 50 Å³/cell. Its formation energy without anion corrections is 0.057 eV/atom.


Entry 5:
VASP calculation (PBE) on crystalline TbY7Er4 at its relaxed geometry.

CIF file:
```
data_TbY7Er4
_symmetry_space_group_name_H-M 'P -1'
_symmetry_Int_Tables_number 2
_cell_length_a 6.493
_cell_length_b 6.789
_cell_length_c 9.050
_cell_angle_alpha 86.18
_cell_angle_beta 76.59
_cell_angle_gamma 81.98
loop_
_symmetry_equiv_pos_as_xyz
'x,y,z'
'-x,-y,-z'
loop_
_atom_site_label
_atom_site_type_symbol
_atom_site_fract_x
_atom_site_fract_y
_atom_site_fract_z
Tb1 Tb 0.000 0.000 0.000
Y1 Y 0.000 0.500 0.000
Y2 Y 0.190 0.108 0.387
Y3 Y 0.318 0.695 0.638
Y4 Y 0.485 0.250 0.050
Er1 Er 0.161 0.618 0.309
Er2 Er 0.359 0.188 0.715
```

Output
The value obtained for the formation energy is 0.09 eV/atom. The calculation puts the final energy at -67.050 eV/cell. The calculation puts the volume at 384 Å³/cell.


Entry 6:
VASP calculation (PBE) on crystalline RbNbCu2Br8 at its relaxed geometry.

CIF file:
```
data_RbNbCu2Br8
_symmetry_space_group_name_H-M 'R 3 2'
_symmetry_Int_Tables_number 155
_symmetry_space_group_name_Hall 'R 3 2"'
_cell_length_a 6.4693
_cell_length_b 6.4693
_cell_length_c 34.6432
_cell_angle_alpha 90.00
_cell_angle_beta 90.00
_cell_angle_gamma 120.00
loop_
_atom_site_label
_atom_site_type_symbol
_atom_site_fract_x
_atom_site_fract_y
_atom_site_fract_z
Rb1 Rb 0.0000 0.0000 0.0000
Nb1 Nb 0.0000 0.0000 0.5000
Cu1 Cu 0.0000 0.0000 0.2404
Br1 Br 0.0000 0.0000 0.3074
Br2 Br 0.0129 0.3124 0.5482
```

Output
The calculation puts the final energy at -123.826 eV/cell. The calculation puts the volume at 1256 Å³/cell. Its formation energy without anion corrections is -0.722 eV/atom.


Entry 7:
VASP calculation (PBE) on crystalline Ca2ZnBi2 at its relaxed geometry.

CIF file:
```
data_Ca2ZnBi2
_symmetry_space_group_name_H-M 'P 1 21/c 1'
_symmetry_Int_Tables_number 14
_cell_length_a 9.400
_cell_length_b 8.168
_cell_length_c 7.933
_cell_angle_alpha 90.00
_cell_angle_beta 90.12
_cell_angle_gamma 90.00
loop_
_symmetry_equiv_pos_as_xyz
'x,y,z'
'-x,-y,-z'
'-x,y+1/2,-z+1/2'
'x,-y+1/2,z+1/2'
loop_
_atom_site_label
_atom_site_type_symbol
_atom_site_fract_x
_atom_site_fract_y
_atom_site_fract_z
Ca1 Ca 0.098 0.242 0.003
Ca2 Ca 0.361 0.718 0.507
Zn1 Zn 0.382 0.082 0.676
Bi1 Bi 0.130 0.572 0.244
Bi2 Bi 0.361 0.090 0.278
```

Output
The value obtained for the formation energy is -0.63 eV/atom. The calculation puts the final energy at -64.700 eV/cell. The calculation puts the volume at 609 Å³/cell.


Entry 8:
VASP calculation (PBE) on crystalline Li2Zn2Sn at its relaxed geometry.

CIF file:
```
data_Li2Zn2Sn
_symmetry_space_group_name_H-M 'C 1 2/m 1'
_symmetry_Int_Tables_number 12
_cell_length_a 10.170
_cell_length_b 4.588
_cell_length_c 8.403
_cell_angle_alpha 90.00
_cell_angle_beta 112.03
_cell_angle_gamma 90.00
loop_
_symmetry_equiv_pos_as_xyz
'x,y,z'
'-x,-y,-z'
'-x,y,-z'
'x,-y,z'
'x+1/2,y+1/2,z'
'-x+1/2,-y+1/2,-z'
'-x+1/2,y+1/2,-z'
'x+1/2,-y+1/2,z'
loop_
_atom_site_label
_atom_site_type_symbol
_atom_site_fract_x
_atom_site_fract_y
_atom_site_fract_z
Li1 Li 0.069 0.000 0.361
Li2 Li 0.164 0.000 0.045
Zn1 Zn 0.055 0.500 0.879
Zn2 Zn 0.123 0.500 0.607
Sn1 Sn 0.234 0.500 0.258
```

Output
The value obtained for the formation energy is -0.18 eV/atom. The calculation puts the final energy at -45.025 eV/cell. The calculation puts the volume at 363 Å³/cell.


Entry 9:
VASP calculation (PBE) on crystalline SrAsO4 at its relaxed geometry.

CIF file:
```
data_SrAsO4
_symmetry_space_group_name_H-M 'I 41/a'
_symmetry_Int_Tables_number 88
_cell_length_a 5.330
_cell_length_b 5.330
_cell_length_c 12.336
_cell_angle_alpha 90.00
_cell_angle_beta 90.00
_cell_angle_gamma 90.00
loop_
_symmetry_equiv_pos_as_xyz
'x,y,z'
'-x,-y,-z'
'-y+3/4,x+1/4,z+1/4'
'y+3/4,-x+1/4,-z+1/4'
'-x+1/2,-y,z+1/2'
'x+1/2,y,-z+1/2'
'y+3/4,-x+3/4,z+3/4'
'-y+3/4,x+3/4,-z+3/4'
'x+1/2,y+1/2,z+1/2'
'-x+1/2,-y+1/2,-z+1/2'
'-y+1/4,x+3/4,z+3/4'
'y+1/4,-x+3/4,-z+3/4'
'-x,-y+1/2,z'
'x,y+1/2,-z'
'y+1/4,-x+1/4,z+1/4'
'-y+1/4,x+1/4,-z+1/4'
loop_
_atom_site_label
_atom_site_type_symbol
_atom_site_fract_x
_atom_site_fract_y
_atom_site_fract_z
Sr1 Sr 0.000 0.250 0.125
As1 As 0.000 0.250 0.625
O1 O 0.121 0.005 0.700
```

Output
The calculation puts the final energy at -146.271 eV/cell. The calculation puts the volume at 350 Å³/cell. Its formation energy without anion corrections is -1.734 eV/atom.


Entry 10:
VASP calculation (PBE) on crystalline Ac2ErCuO5 at its relaxed geometry.

CIF file:
```
data_Ac2ErCuO5
_symmetry_space_group_name_H-M 'P 4/m m m'
_symmetry_Int_Tables_number 123
_symmetry_space_group_name_Hall '-P 4 2'
_cell_length_a 3.816
_cell_length_b 3.816
_cell_length_c 9.454
_cell_angle_alpha 90.00
_cell_angle_beta 90.00
_cell_angle_gamma 90.00
loop_
_atom_site_label
_atom_site_type_symbol
_atom_site_fract_x
_atom_site_fract_y
_atom_site_fract_z
Ac1 Ac 0.000 0.000 0.197
Er1 Er 0.500 0.500 0.500
Cu1 Cu 0.500 0.500 0.000
O1 O 0.000 0.000 0.500
O2 O 0.000 0.500 0.000
O3 O 0.500 0.500 0.273
```

Output
The calculation puts the final energy at -64.927 eV/cell. The calculation puts the volume at 138 Å³/cell. Its formation energy without anion corrections is -2.584 eV/atom.